Record 1
GGA-PBE As2PSe, relaxed; ΔE_f (raw) = 0.14 eV per atom; energy above the most stable polymorph in this dataset = 15 meV per atom; calculated volume = 85.8 Å³/cell
1.0
4.7197 0.0000 0.0000
0.0000 3.6961 0.0000
-2.0402 0.0000 4.9160
As P Se
2 1 1
Direct
0.0000 0.0000 0.0000
0.2833 0.5000 0.7248
0.5489 0.0000 0.5948
0.8000 0.5000 0.2488

***

Record 2
GGA-PBE AsP2Se, relaxed; ΔE_f (raw) = 0.68 eV per atom; energy above the most stable polymorph in this dataset = 510 meV per atom; calculated volume = 274.4 Å³/cell
1.0
6.4980 0.0000 0.0000
0.0000 6.4980 0.0000
0.0000 0.0000 6.4980
As P Se
4 8 4
Direct
0.0000 0.0000 0.0000
0.0000 0.5000 0.5000
0.5000 0.0000 0.5000
0.5000 0.5000 0.0000
0.2500 0.2500 0.2500
0.2500 0.2500 0.7500
0.2500 0.7500 0.2500
0.2500 0.7500 0.7500
0.7500 0.2500 0.2500
0.7500 0.2500 0.7500
0.7500 0.7500 0.2500
0.7500 0.7500 0.7500
0.0000 0.0000 0.5000
0.0000 0.5000 0.0000
0.5000 0.0000 0.0000
0.5000 0.5000 0.5000

***

Record 3
GGA-PBE As2PSe, relaxed; ΔE_f (raw) = 0.46 eV per atom; energy above the most stable polymorph in this dataset = 334 meV per atom; calculated volume = 154.1 Å³/cell
1.0
3.4102 0.0000 0.0000
0.0000 4.4217 0.0000
0.0000 0.0000 10.2224
As P Se
4 2 2
Direct
0.0000 0.0000 0.1941
0.0000 0.0000 0.8059
0.5000 0.5000 0.3059
0.5000 0.5000 0.6941
0.0000 0.5000 0.5000
0.5000 0.0000 0.0000
0.0000 0.5000 0.0000
0.5000 0.0000 0.5000

***

Record 4
GGA-PBE AsPSe, relaxed; ΔE_f (raw) = 0.17 eV per atom; energy above the most stable polymorph in this dataset = 0 meV per atom; calculated volume = 58.3 Å³/cell
1.0
3.7453 0.0000 0.0000
-1.8727 3.2436 0.0000
0.0000 0.0000 4.8007
As P Se
1 1 1
Direct
0.0000 0.0000 0.0000
0.6667 0.3333 0.2782
0.3333 0.6667 0.6240

***

Record 5
GGA-PBE AsP2Se, relaxed; ΔE_f (raw) = 0.65 eV per atom; energy above the most stable polymorph in this dataset = 480 meV per atom; calculated volume = 146.1 Å³/cell
1.0
3.4869 0.0000 0.0000
0.0000 4.3273 0.0000
0.0000 0.0000 9.6797
As P Se
2 4 2
Direct
0.0000 0.0000 0.0000
0.5000 0.5000 0.5000
0.0000 0.5000 0.2959
0.0000 0.5000 0.7041
0.5000 0.0000 0.2041
0.5000 0.0000 0.7959
0.0000 0.0000 0.5000
0.5000 0.5000 0.0000

***

Record 6
GGA-PBE AsPSe2, relaxed; ΔE_f (raw) = 0.48 eV per atom; energy above the most stable polymorph in this dataset = 350 meV per atom; calculated volume = 170.6 Å³/cell
1.0
3.4076 0.0000 0.0000
0.0000 4.3469 0.0000
0.0000 0.0000 11.5204
As P Se
2 2 4
Direct
0.0000 0.0000 0.0000
0.5000 0.5000 0.0000
0.0000 0.5000 0.1751
0.5000 0.0000 0.1751
0.0000 0.0000 0.4069
0.0000 0.5000 0.7571
0.5000 0.0000 0.7571
0.5000 0.5000 0.4069

***

Record 7
GGA-PBE AsP2Se, relaxed; ΔE_f (raw) = 0.60 eV per atom; energy above the most stable polymorph in this dataset = 431 meV per atom; calculated volume = 180.0 Å³/cell
1.0
3.5181 0.0000 0.0000
0.0000 3.5181 0.0000
0.0000 0.0000 14.5425
As P Se
2 4 2
Direct
0.0000 0.0000 0.0000
0.5000 0.5000 0.5000
0.0000 0.5000 0.2500
0.0000 0.5000 0.7500
0.5000 0.0000 0.2500
0.5000 0.0000 0.7500
0.0000 0.0000 0.5000
0.5000 0.5000 0.0000

***

Record 8
GGA-PBE As2PSe, relaxed; ΔE_f (raw) = 0.24 eV per atom; energy above the most stable polymorph in this dataset = 116 meV per atom; calculated volume = 206.3 Å³/cell
1.0
3.3606 0.0000 0.0000
0.0000 3.4458 0.0000
0.0000 0.0000 17.8181
As P Se
4 2 2
Direct
0.0000 0.0000 0.0000
0.0000 0.5000 0.2160
0.5000 0.0000 0.7160
0.5000 0.5000 0.5000
0.0000 0.5000 0.5863
0.5000 0.0000 0.0863
0.0000 0.0000 0.3107
0.5000 0.5000 0.8107

***

Record 9
GGA-PBE As2PSe, relaxed; ΔE_f (raw) = 0.54 eV per atom; energy above the most stable polymorph in this dataset = 418 meV per atom; calculated volume = 73.5 Å³/cell
1.0
4.7553 0.0000 0.0000
0.0000 4.7553 0.0000
0.0000 0.0000 3.2484
As P Se
2 1 1
Direct
0.0000 0.5000 0.0000
0.5000 0.0000 0.0000
0.0000 0.0000 0.5000
0.5000 0.5000 0.5000

***

Record 10
GGA-PBE AsP2Se, relaxed; ΔE_f (raw) = 0.56 eV per atom; energy above the most stable polymorph in this dataset = 395 meV per atom; calculated volume = 187.6 Å³/cell
1.0
3.4915 0.0000 0.0000
0.0000 3.4915 0.0000
0.0000 0.0000 15.3897
As P Se
2 4 2
Direct
0.0000 0.0000 0.0000
0.5000 0.5000 0.5000
0.0000 0.0000 0.5000
0.0000 0.5000 0.7500
0.5000 0.0000 0.2500
0.5000 0.5000 0.0000
0.0000 0.5000 0.2500
0.5000 0.0000 0.7500

***

Record 11
GGA-PBE AsPSe2, relaxed; ΔE_f (raw) = 0.30 eV per atom; energy above the most stable polymorph in this dataset = 168 meV per atom; calculated volume = 269.7 Å³/cell
1.0
3.5149 0.0000 0.0000
-1.7574 3.0440 0.0000
0.0000 0.0000 25.2077
As P Se
3 3 6
Direct
0.0000 0.0000 0.0000
0.3333 0.6667 0.6667
0.6667 0.3333 0.3333
0.0000 0.0000 0.5000
0.3333 0.6667 0.1667
0.6667 0.3333 0.8333
0.0000 0.0000 0.1046
0.0000 0.0000 0.8954
0.3333 0.6667 0.5621
0.3333 0.6667 0.7712
0.6667 0.3333 0.2288
0.6667 0.3333 0.4379

***

Record 12
GGA-PBE AsPSe3, relaxed; ΔE_f (raw) = 0.62 eV per atom; energy above the most stable polymorph in this dataset = 629 meV per atom; calculated volume = 111.2 Å³/cell
1.0
4.8093 0.0000 0.0000
0.0000 4.8093 0.0000
0.0000 0.0000 4.8093
As P Se
1 1 3
Direct
0.0000 0.0000 0.0000
0.5000 0.5000 0.5000
0.0000 0.5000 0.5000
0.5000 0.0000 0.5000
0.5000 0.5000 0.0000

***

Record 13
GGA-PBE AsP2Se, relaxed; ΔE_f (raw) = 0.37 eV per atom; energy above the most stable polymorph in this dataset = 202 meV per atom; calculated volume = 83.7 Å³/cell
1.0
3.1215 0.0000 0.0000
0.0000 5.0305 0.0000
-1.1716 0.0000 5.3279
As P Se
1 2 1
Direct
0.0000 0.0000 0.0000
0.3056 0.5000 0.1445
0.6944 0.5000 0.8555
0.0000 0.0000 0.5000